1.
Material: Pr6SmY3Ho2
Method: DFT, PBE
State: relaxed

mass density	6.49	g cm⁻³
size of the total moment	0.00	μB/cell
calculated total energy	-0.1894	Ha/atom
V	33.95	A^3/atom

a = 6.3272 Å, b = 10.9594 Å, c = 11.9372 Å
α = 90.00°, β = 100.15°, γ = 90.00°
Space group C2/m (No. 12)
Symmetry-distinct sites (fractional):
Pr  0.2493  0.1669  0.2504 x8
Pr  0.2500  0.0000  0.7496 x4
Sm  0.0000  0.5000  0.5000 x2
Y  0.0000  0.0000  0.0000 x2
Y  0.0000  0.3332  0.0000 x4
Ho  0.0000  0.1665  0.5000 x4

2.
Material: Ho2Ge3Rh2
Method: DFT, PBE
State: relaxed

mass density	9.65	g cm⁻³
size of the total moment	0.00	μB/cell
calculated total energy	-0.2266	Ha/atom
V	18.53	A^3/atom

a = 10.0705 Å, b = 4.2203 Å, c = 6.6765 Å
α = 90.00°, β = 113.92°, γ = 90.00°
Space group C2/m (No. 12)
Symmetry-distinct sites (fractional):
Ho  0.1522  0.0000  0.2778 x4
Ge  0.0000  0.5000  0.5000 x2
Ge  0.1181  0.5000  0.9488 x4
Rh  0.1339  0.0000  0.7202 x4

3.
Material: Sc6Tl2As
Method: DFT, PBE
State: relaxed

mass density	6.14	g cm⁻³
size of the total moment	0.00	μB/cell
calculated total energy	-0.2116	Ha/atom
V	22.64	A^3/atom

a = 7.9837 Å, b = 7.9837 Å, c = 3.6907 Å
α = 90.00°, β = 90.00°, γ = 120.00°
Space group P-62m (No. 189)
Symmetry-distinct sites (fractional):
Sc  0.0000  0.2567  0.0000 x3
Sc  0.0000  0.6167  0.5000 x3
Tl  0.3333  0.6667  0.0000 x2
As  0.0000  0.0000  0.5000 x1

4.
Material: FeGeAs
Method: DFT, PBE
State: relaxed

mass density	7.26	g cm⁻³
size of the total moment	0.61	μB/cell
calculated total energy	-0.2161	Ha/atom
V	15.50	A^3/atom
distance to the lowest polymorph of the same formula	32	kJ/mol of formula units

a = 5.7084 Å, b = 5.7084 Å, c = 5.7084 Å
α = 90.00°, β = 90.00°, γ = 90.00°
Space group F-43m (No. 216)
Symmetry-distinct sites (fractional):
Fe  0.0000  0.0000  0.0000 x4
Ge  0.2500  0.2500  0.2500 x4
As  0.2500  0.2500  0.7500 x4

5.
Material: V4Cr2Tc
Method: DFT, PBE
State: relaxed

mass density	6.79	g cm⁻³
size of the total moment	0.00	μB/cell
calculated total energy	-0.3403	Ha/atom
V	14.17	A^3/atom
distance to the lowest polymorph of the same formula	0	kJ/mol of formula units

a = 5.8613 Å, b = 5.8613 Å, c = 5.7756 Å
α = 90.00°, β = 90.00°, γ = 90.00°
Space group I4/mmm (No. 139)
Symmetry-distinct sites (fractional):
V  0.2500  0.2500  0.2500 x8
Cr  0.0000  0.5000  0.0000 x4
Tc  0.0000  0.0000  0.0000 x2

6.
Material: Rb2In4Cu
Method: DFT, PBE
State: relaxed

mass density	4.33	g cm⁻³
size of the total moment	0.00	μB/cell
calculated total energy	-0.0868	Ha/atom
V	37.99	A^3/atom

a = 5.1590 Å, b = 5.1590 Å, c = 19.9831 Å
α = 90.00°, β = 90.00°, γ = 90.00°
Space group I4/mmm (No. 139)
Symmetry-distinct sites (fractional):
Rb  0.0000  0.0000  0.1697 x4
In  0.0000  0.0000  0.3711 x4
In  0.0000  0.5000  0.0000 x4
Cu  0.0000  0.0000  0.5000 x2